Here is a geometry-optimized LiInHg2I structure from the Alexandria database. Energies are from PBE.

Cell lengths 5.384, 5.384, 5.427 Å; angles 90.00, 90.00, 90.00 degrees
Positions (direct):
I 0.000 0.000 0.500
Li 0.000 0.000 0.000
Hg 0.500 0.000 0.000
Hg 0.000 0.500 0.000
In 0.500 0.500 0.500

Properties
As for the total magnetization: 0.0 μB per formula unit. Its density of states at the Fermi level is 1.5 states/eV per cell. Its total energy is -1.56 eV/atom.